1.
# KHO2 (PBE, relaxed)
data_KHO2
_cell_length_a 4.156
_cell_length_b 4.156
_cell_length_c 9.994
_cell_angle_alpha 90.00
_cell_angle_beta 90.00
_cell_angle_gamma 90.00
_symmetry_space_group_name_H-M 'I 41/a m d'
_symmetry_Int_Tables_number 141
loop_
_symmetry_equiv_pos_as_xyz
'x,y,z'
'-x,-y,-z'
'-y+1/4,x+3/4,z+1/4'
'y+1/4,-x+3/4,-z+1/4'
'-x+1/2,-y,z+1/2'
'x+1/2,y,-z+1/2'
'y+1/4,-x+1/4,z+3/4'
'-y+1/4,x+1/4,-z+3/4'
'x,-y,-z'
'-x,y,z'
'-y+1/4,-x+1/4,-z+3/4'
'y+1/4,x+1/4,z+3/4'
'-x+1/2,y,-z+1/2'
'x+1/2,-y,z+1/2'
'y+1/4,x+3/4,-z+1/4'
'-y+1/4,-x+3/4,z+1/4'
'x+1/2,y+1/2,z+1/2'
'-x+1/2,-y+1/2,-z+1/2'
'-y+3/4,x+1/4,z+3/4'
'y+3/4,-x+1/4,-z+3/4'
'-x,-y+1/2,z'
'x,y+1/2,-z'
'y+3/4,-x+3/4,z+1/4'
'-y+3/4,x+3/4,-z+1/4'
'x+1/2,-y+1/2,-z+1/2'
'-x+1/2,y+1/2,z+1/2'
'-y+3/4,-x+3/4,-z+1/4'
'y+3/4,x+3/4,z+1/4'
'-x,y+1/2,-z'
'x,-y+1/2,z'
'y+3/4,x+1/4,-z+3/4'
'-y+3/4,-x+1/4,z+3/4'
loop_
_atom_site_label
_atom_site_type_symbol
_atom_site_fract_x
_atom_site_fract_y
_atom_site_fract_z
_atom_site_occupancy
K1 K 0.000 0.250 0.375 1
H1 H 0.000 0.250 0.875 1
O1 O 0.000 0.000 0.000 1
# Excess energy over the best structure of this formula in the dataset, eV per atom: 0.7325

---

2.
# KHO2 (PBE, relaxed)
data_KHO2
_cell_length_a 5.988
_cell_length_b 3.910
_cell_length_c 4.458
_cell_angle_alpha 90.00
_cell_angle_beta 90.00
_cell_angle_gamma 90.00
_symmetry_space_group_name_H-M 'P m m a'
_symmetry_Int_Tables_number 51
loop_
_symmetry_equiv_pos_as_xyz
'x,y,z'
'-x,-y,-z'
'-x+1/2,-y,z'
'x+1/2,y,-z'
'x+1/2,-y,-z'
'-x+1/2,y,z'
'-x,y,-z'
'x,-y,z'
loop_
_atom_site_label
_atom_site_type_symbol
_atom_site_fract_x
_atom_site_fract_y
_atom_site_fract_z
_atom_site_occupancy
K1 K 0.250 0.000 0.194 1
H1 H 0.250 0.500 0.635 1
O1 O 0.045 0.500 0.657 1
# Excess energy over the best structure of this formula in the dataset, eV per atom: 0.0000

---

3.
# K2H3O2 (PBE, relaxed)
data_K2H3O2
_cell_length_a 4.623
_cell_length_b 3.868
_cell_length_c 7.120
_cell_angle_alpha 90.00
_cell_angle_beta 96.80
_cell_angle_gamma 90.00
_symmetry_space_group_name_H-M 'P 1 2/m 1'
_symmetry_Int_Tables_number 10
loop_
_symmetry_equiv_pos_as_xyz
'x,y,z'
'-x,-y,-z'
'-x,y,-z'
'x,-y,z'
loop_
_atom_site_label
_atom_site_type_symbol
_atom_site_fract_x
_atom_site_fract_y
_atom_site_fract_z
_atom_site_occupancy
K1 K 0.182 0.000 0.209 1
H1 H 0.315 0.500 0.760 1
H2 H 0.500 0.500 0.000 1
O1 O 0.273 0.500 0.892 1
# Total DFT energy (no corrections), eV/atom: -4.17

---

4.
# KHO3 (PBE, relaxed)
data_KHO3
_cell_length_a 3.684
_cell_length_b 3.684
_cell_length_c 3.684
_cell_angle_alpha 90.00
_cell_angle_beta 90.00
_cell_angle_gamma 90.00
_symmetry_space_group_name_H-M 'P m -3 m'
_symmetry_Int_Tables_number 221
_symmetry_space_group_name_Hall '-P 4 2 3'
loop_
_atom_site_label
_atom_site_type_symbol
_atom_site_fract_x
_atom_site_fract_y
_atom_site_fract_z
_atom_site_occupancy
K1 K 0.000 0.000 0.000 1
H1 H 0.500 0.500 0.500 1
O1 O 0.000 0.500 0.500 1
# Total DFT energy (no corrections), eV/atom: -3.29